Entry 1:
This record from OQMD describes SrPrCo2Sn4 after structural relaxation. The functional is PBE.

- calculated total energy (eV/atom) = -5.00
- spin magnetization (μB per atom) = 0.00

abc: 4.5706 9.4845 9.4845
angles: 27.77 90.00 90.00
With the nearest neighbours (Å) after each atom.
Positions (direct):
1 Pr 0.0000 0.8883 0.8883  10 Sn 3.39-3.71, 5 Co 3.47-3.78
2 Co 0.0000 0.6829 0.6829  5 Sn 2.50-2.61
3 Co 0.5000 0.3191 0.3191  5 Sn 2.44-2.60
4 Sn 0.5000 0.7507 0.7507  4 Co 2.60
5 Sn 0.0000 0.2521 0.2521  4 Co 2.60-2.61
6 Sn 0.0000 0.5472 0.5472  1 Co 2.50
7 Sn 0.5000 0.4514 0.4514  1 Co 2.44
8 Sr 0.5000 0.1083 0.1083  10 Sn 3.42-3.68, 4 Co 3.51

---

Entry 2:
This record from OQMD describes NaTc2 after structural relaxation. The functional is PBE.

- energy relative to the lowest polymorph listed for this composition (meV/atom) = 0
- spin magnetization (μB per atom) = 0.01

abc: 5.2726 5.2726 5.2726
angles: 60.00 60.00 60.00
With the nearest neighbours (Å) after each atom.
Positions (direct):
1 Tc 0.6250 0.1250 0.6250  6 Tc 2.64
2 Tc 0.6250 0.6250 0.6250  6 Tc 2.64
3 Tc 0.6250 0.6250 0.1250  6 Tc 2.64
4 Tc 0.1250 0.6250 0.6250  6 Tc 2.64
5 Na 0.2500 0.2500 0.2500  12 Tc 3.09, 4 Na 3.23
6 Na 0.0000 0.0000 0.0000  12 Tc 3.09, 4 Na 3.23

---

Entry 3:
This record from OQMD describes Be2NbOs2 after structural relaxation. The functional is PBE.

- calculated total energy (eV/atom) = -8.27
- spin magnetization (μB per atom) = 0.00

abc: 6.4586 6.4586 2.9501
angles: 90.00 90.00 90.00
With the nearest neighbours (Å) after each atom.
Positions (direct):
1 Be 0.6211 0.1211 0.0000  1 Be 2.21, 6 Os 2.39-2.43
2 Be 0.8789 0.6211 0.0000  1 Be 2.21, 6 Os 2.39-2.43
3 Be 0.1211 0.3789 0.0000  1 Be 2.21, 6 Os 2.39-2.43
4 Be 0.3789 0.8789 0.0000  1 Be 2.21, 6 Os 2.39-2.43
5 Os 0.8327 0.3327 0.5000  6 Be 2.39-2.43
6 Os 0.6673 0.8327 0.5000  6 Be 2.39-2.43
7 Os 0.1673 0.6673 0.5000  6 Be 2.39-2.43
8 Os 0.3327 0.1673 0.5000  6 Be 2.39-2.43
9 Nb 0.5000 0.5000 0.0000  4 Be 2.57, 8 Os 2.82
10 Nb 0.0000 0.0000 0.0000  4 Be 2.57, 8 Os 2.82

---

Entry 4:
This record from OQMD describes LiHfCoSi after structural relaxation. The functional is PBE.

- energy relative to the lowest polymorph listed for this composition (meV/atom) = 329
- spin magnetization (μB per atom) = 0.11

abc: 4.3321 4.3321 4.3321
angles: 60.00 60.00 60.00
With the nearest neighbours (Å) after each atom.
Positions (direct):
1 Co 0.5000 0.5000 0.5000  4 Li 2.65, 4 Hf 2.65
2 Li 0.7500 0.7500 0.7500  4 Co 2.65, 4 Si 2.65
3 Si 0.0000 0.0000 0.0000  4 Li 2.65, 4 Hf 2.65
4 Hf 0.2500 0.2500 0.2500  4 Co 2.65, 4 Si 2.65

---

Entry 5:
This record from OQMD describes HfNb2Tc after structural relaxation. The functional is PBE.

- ΔE_f (eV per atom) = -0.143
- spin magnetization (μB per atom) = 0.00

abc: 4.6432 4.6432 4.6432
angles: 60.00 60.00 60.00
With the nearest neighbours (Å) after each atom.
Positions (direct):
1 Tc 0.0000 0.0000 0.0000  4 Hf 2.84, 4 Nb 2.84
2 Hf 0.7500 0.7500 0.7500  4 Nb 2.84, 4 Tc 2.84
3 Nb 0.2500 0.2500 0.2500  4 Nb 2.84, 4 Tc 2.84
4 Nb 0.5000 0.5000 0.5000  4 Hf 2.84, 4 Nb 2.84

---

Entry 6:
This record from OQMD describes Sm4B2Br4Cl after structural relaxation. The functional is PBE.

- calculated total energy (eV/atom) = -5.01
- spin magnetization (μB per atom) = 0.00

abc: 10.3055 10.3055 8.0045
angles: 102.71 102.71 21.94
With the nearest neighbours (Å) after each atom.
Positions (direct):
1 Br 0.8301 0.8301 0.6672  2 Sm 2.95
2 Br 0.8394 0.8394 0.1314  3 Sm 2.90-3.19
3 Br 0.1699 0.1699 0.3328  2 Sm 2.95
4 Br 0.1606 0.1606 0.8686  3 Sm 2.90-3.19
5 Sm 0.9989 0.9989 0.2882  4 B 2.70-2.71
6 Sm 0.6602 0.6602 0.6014  1 B 2.38
7 Sm 0.0011 0.0011 0.7118  4 B 2.70-2.71
8 Sm 0.3398 0.3398 0.3986  1 B 2.38
9 B 0.5397 0.5397 0.5221  1 B 1.57
10 B 0.4603 0.4603 0.4779  1 B 1.57
11 Cl 0.5000 0.5000 0.0000  4 Sm 3.03

---

Entry 7:
This record from OQMD describes TmPb after structural relaxation. The functional is PBE.

- calculated total energy (eV/atom) = -3.63
- spin magnetization (μB per atom) = 0.50

abc: 4.9078 4.9078 4.9078
angles: 60.00 60.00 60.00
With the nearest neighbours (Å) after each atom.
Positions (direct):
1 Pb 0.0000 0.0000 0.0000  4 Tm 3.01
2 Tm 0.2500 0.2500 0.2500  4 Pb 3.01

---

Entry 8:
This record from OQMD describes CsGdI3 after structural relaxation. The functional is PBE.

- calculated total energy (eV/atom) = -3.31
- spin magnetization (μB per atom) = 0.00

abc: 8.5980 8.5980 6.1698
angles: 90.00 90.00 90.00
With the nearest neighbours (Å) after each atom.
Positions (direct):
1 Cs 0.5000 0.0000 0.0000  8 I 4.01-4.30
2 Cs 0.0000 0.5000 0.0000  8 I 4.01-4.30
3 Gd 0.0000 0.0000 0.5000  6 I 3.08
4 Gd 0.5000 0.5000 0.5000  6 I 3.08
5 I 0.7101 0.7899 0.5000  2 Gd 3.08
6 I 0.7899 0.2899 0.5000  2 Gd 3.08
7 I 0.2101 0.7101 0.5000  2 Gd 3.08
8 I 0.5000 0.5000 0.0000  2 Gd 3.08
9 I 0.2899 0.2101 0.5000  2 Gd 3.08
10 I 0.0000 0.0000 0.0000  2 Gd 3.08

---

Question: spin magnetization of number 5 (HfNb2Tc)?
Answer: 0.00 μB per atom